AgSbW2 after structural relaxation. Source: the Open Quantum Materials Database, functional GGA-PBE.

Geometry as CIF:
```
data_AgSbW2
_chemical_formula_sum 'Ag4 Sb4 W8'
_cell_length_a 6.576
_cell_length_b 6.576
_cell_length_c 6.576
_cell_angle_alpha 90.00
_cell_angle_beta 90.00
_cell_angle_gamma 90.00
_symmetry_space_group_name_H-M 'F -4 3 m'
_symmetry_Int_Tables_number 216
_symmetry_space_group_name_Hall 'F -4 2 3'
loop_
_atom_site_label
_atom_site_type_symbol
_atom_site_fract_x
_atom_site_fract_y
_atom_site_fract_z
_atom_site_occupancy
Ag1 Ag 0.000 0.000 0.000 1
Sb1 Sb 0.250 0.250 0.750 1
W1 W 0.000 0.000 0.500 1
W2 W 0.250 0.250 0.250 1
```

The mass density comes out at 13.95 g/cm³. The calculation puts the total energy at -7.408 eV per atom.